(1)
Compound: PrY2Au
Source: the Alexandria database
Functional: GGA-PBE
Structure: optimized geometry

a b c (Å): 3.651 3.651 8.678
angles (deg): 90.00 90.00 90.00
Space group P4/mmm (No. 123)
One atom of each set of equivalent atoms:
Pr 0.000 0.000 0.000 (multiplicity 1)
Y 0.500 0.500 0.300 (multiplicity 2)
Au 0.000 0.000 0.500 (multiplicity 1)

Summary:
Formation enthalpy at 0 K, eV/atom: -0.407
VASP energy, eV/atom: -5.653
Total magnetization, μB per formula unit: 0.00
Crystal system: tetragonal

---

(2)
Compound: PrYAu
Source: the Alexandria database
Functional: GGA-PBE
Structure: optimized geometry

a b c (Å): 7.191 7.191 7.191
angles (deg): 90.00 90.00 90.00
Space group F-43m (No. 216)
One atom of each set of equivalent atoms:
Pr 0.000 0.000 0.000 (multiplicity 4)
Y 0.000 0.000 0.500 (multiplicity 4)
Au 0.250 0.250 0.750 (multiplicity 4)

Summary:
Formation enthalpy at 0 K, eV/atom: -0.390
VASP energy, eV/atom: -5.231
Total magnetization, μB per formula unit: 0.00
Crystal system: cubic

---

(3)
Compound: PrY2Au3
Source: the Alexandria database
Functional: GGA-PBE
Structure: optimized geometry

a b c (Å): 3.621 3.621 11.128
angles (deg): 90.00 90.00 90.00
Space group P4/mmm (No. 123)
One atom of each set of equivalent atoms:
Pr 0.000 0.000 0.000 (multiplicity 1)
Y 0.000 0.000 0.337 (multiplicity 2)
Au 0.500 0.500 0.183 (multiplicity 2)
Au 0.500 0.500 0.500 (multiplicity 1)

Summary:
Formation enthalpy at 0 K, eV/atom: -0.825
VASP energy, eV/atom: -5.415
Total magnetization, μB per formula unit: 0.00
Crystal system: tetragonal

---

(4)
Compound: Pr2YAu4
Source: the Alexandria database
Functional: GGA-PBE
Structure: optimized geometry

a b c (Å): 5.321 5.321 13.149
angles (deg): 90.00 90.00 90.00
Space group I4/mmm (No. 139)
One atom of each set of equivalent atoms:
Pr 0.000 0.000 0.219 (multiplicity 4)
Y 0.000 0.000 0.500 (multiplicity 2)
Au 0.000 0.500 0.113 (multiplicity 8)

Summary:
Formation enthalpy at 0 K, eV/atom: -0.663
VASP energy, eV/atom: -4.825
Total magnetization, μB per formula unit: 0.00
Crystal system: tetragonal

---

(5)
Compound: Pr2YAu2
Source: the Alexandria database
Functional: GGA-PBE
Structure: optimized geometry

a b c (Å): 8.377 8.377 3.954
angles (deg): 90.00 90.00 90.00
Space group P4/mbm (No. 127)
One atom of each set of equivalent atoms:
Pr 0.166 0.334 0.000 (multiplicity 4)
Y 0.000 0.000 0.500 (multiplicity 2)
Au 0.130 0.630 0.500 (multiplicity 4)

Summary:
Formation enthalpy at 0 K, eV/atom: -0.643
VASP energy, eV/atom: -5.159
Total magnetization, μB per formula unit: 0.00
Crystal system: tetragonal

---

(6)
Compound: Pr3YAu4
Source: the Alexandria database
Functional: GGA-PBE
Structure: optimized geometry

a b c (Å): 3.696 3.696 14.938
angles (deg): 90.00 90.00 90.00
Space group P4/mmm (No. 123)
One atom of each set of equivalent atoms:
Pr 0.000 0.000 0.000 (multiplicity 1)
Pr 0.000 0.000 0.254 (multiplicity 2)
Y 0.000 0.000 0.500 (multiplicity 1)
Au 0.500 0.500 0.126 (multiplicity 2)
Au 0.500 0.500 0.387 (multiplicity 2)

Summary:
Formation enthalpy at 0 K, eV/atom: -0.773
VASP energy, eV/atom: -5.012
Total magnetization, μB per formula unit: 0.00
Crystal system: tetragonal

---

(7)
Compound: PrY2Au4
Source: the Alexandria database
Functional: GGA-PBE
Structure: optimized geometry

a b c (Å): 5.123 5.123 6.915
angles (deg): 90.00 90.00 90.00
Space group P4/mmm (No. 123)
One atom of each set of equivalent atoms:
Pr 0.000 0.000 0.000 (multiplicity 1)
Y 0.000 0.000 0.500 (multiplicity 1)
Y 0.500 0.500 0.000 (multiplicity 1)
Au 0.000 0.500 0.258 (multiplicity 4)

Summary:
Formation enthalpy at 0 K, eV/atom: -0.601
VASP energy, eV/atom: -5.003
Total magnetization, μB per formula unit: 0.00
Crystal system: tetragonal

---

(8)
Compound: Pr5YAu6
Source: the Alexandria database
Functional: GGA-PBE
Structure: optimized geometry

a b c (Å): 16.658 7.415 5.274
angles (deg): 90.00 108.27 90.00
Space group C2/m (No. 12)
One atom of each set of equivalent atoms:
Pr 0.000 0.000 0.000 (multiplicity 2)
Pr 0.165 0.000 0.665 (multiplicity 4)
Pr 0.169 0.500 0.669 (multiplicity 4)
Y 0.000 0.500 0.000 (multiplicity 2)
Au 0.000 0.269 0.500 (multiplicity 4)
Au 0.161 0.260 0.161 (multiplicity 8)

Summary:
Formation enthalpy at 0 K, eV/atom: -0.762
VASP energy, eV/atom: -4.930
Total magnetization, μB per formula unit: 0.00
Crystal system: monoclinic